1.
Ti4RuN: relaxed, PBE-GGA.

ΔE_f (raw) (eV/atom): -0.450
M_tot (Bohr magnetons per cell): 0.0
DOS at the Fermi energy (states/eV per atom): 0.729
Space group: No. 109
Crystal system: tetragonal

a = 6.2800 Å, b = 6.2800 Å, c = 6.2800 Å
α = 108.55°, β = 108.55°, γ = 111.33°
Closest atoms and distances in Å follow each position.
Positions (direct):
N  0.5127  0.0127  0.5000  6 Ti 2.05-2.20
N  0.7627  0.7627  0.0000  6 Ti 2.05-2.20
Ti  0.7104  0.4151  0.7047  2 N 2.05-2.20
Ti  0.7304  0.5406  0.1898  1 N 2.10, 1 Ru 2.31
Ti  0.7104  0.0056  0.2953  2 N 2.05-2.20
Ti  0.2906  0.6008  0.3102  1 N 2.10, 1 Ru 2.31
Ti  0.7556  0.9604  0.7953  2 N 2.05-2.20
Ti  0.3508  0.5406  0.8102  1 N 2.10, 1 Ru 2.31
Ti  0.2906  0.9804  0.6898  1 N 2.10, 1 Ru 2.31
Ti  0.1651  0.9604  0.2047  2 N 2.05-2.20
Ru  0.2353  0.2353  0.0000  6 Ti 2.31-2.57
Ru  0.9853  0.4853  0.5000  6 Ti 2.31-2.57

***

2.
TiRuN2: relaxed, PBE-GGA.

ΔE_f (raw) (eV/atom): 0.057
M_tot (Bohr magnetons per cell): 0.0
ΔE to the lowest computed polymorph (meV per atom): 576
DOS at the Fermi energy (states/eV per atom): 0.805
Space group: No. 225
Crystal system: cubic

a = 3.7739 Å, b = 3.7739 Å, c = 3.7739 Å
α = 60.00°, β = 60.00°, γ = 60.00°
Closest atoms and distances in Å follow each position.
Positions (direct):
Ru  0.5000  0.5000  0.5000  8 N 2.31
N  0.7500  0.7500  0.7500  4 Ti 2.31, 4 Ru 2.31
N  0.2500  0.2500  0.2500  4 Ru 2.31, 4 Ti 2.31
Ti  0.0000  0.0000  0.0000  8 N 2.31

***

3.
Ti8RuN2: relaxed, PBE-GGA.

ΔE_f (raw) (eV/atom): -0.521
M_tot (Bohr magnetons per cell): 0.0
DOS at the Fermi energy (states/eV per atom): 1.159
Space group: No. 12
Crystal system: monoclinic

a = 4.4005 Å, b = 6.1422 Å, c = 6.1422 Å
α = 111.11°, β = 97.31°, γ = 97.31°
Closest atoms and distances in Å follow each position.
Positions (direct):
Ru  0.5000  0.0000  0.0000  4 Ti 2.47-2.71
Ti  0.5000  0.7565  0.2435  2 N 2.29, 1 Ru 2.47
Ti  0.3063  0.6018  0.6018  2 N 2.40, 3 Ti 2.45-2.69
Ti  0.0734  0.3413  0.0805  2 N 2.20-2.28
Ti  0.6937  0.3982  0.3982  2 N 2.40, 3 Ti 2.45-2.69
Ti  0.9266  0.9195  0.6587  2 N 2.20-2.28
Ti  0.5000  0.2435  0.7565  2 N 2.29, 1 Ru 2.47
Ti  0.0734  0.0805  0.3413  2 N 2.20-2.28
Ti  0.9266  0.6587  0.9195  2 N 2.20-2.28
N  0.0000  0.3053  0.6947  8 Ti 2.20-2.40
N  0.0000  0.6947  0.3053  8 Ti 2.20-2.40

***

4.
TiRuN2: relaxed, PBE-GGA.

ΔE_f (raw) (eV/atom): -0.519
M_tot (Bohr magnetons per cell): 0.0
ΔE to the lowest computed polymorph (meV per atom): 0
DOS at the Fermi energy (states/eV per atom): 0.684
Space group: No. 122
Crystal system: tetragonal

a = 4.5463 Å, b = 4.5463 Å, c = 5.6695 Å
α = 66.36°, β = 66.36°, γ = 90.00°
Closest atoms and distances in Å follow each position.
Positions (direct):
Ti  0.2500  0.7500  0.5000  4 N 1.97
Ti  0.5000  0.5000  0.0000  4 N 1.97
N  0.8750  0.8691  0.7500  2 Ti 1.97, 2 Ru 2.00
N  0.3750  0.3809  0.7500  2 Ti 1.97, 2 Ru 2.00
N  0.6191  0.1250  0.2500  2 Ti 1.97, 2 Ru 2.00
N  0.1309  0.6250  0.2500  2 Ti 1.97, 2 Ru 2.00
Ru  0.0000  0.0000  0.0000  4 N 2.00
Ru  0.7500  0.2500  0.5000  4 N 2.00

***

Which of these has the highest ΔE_f (raw)?
number 2